Computed, not measured: RbPbBr3 after structural relaxation at the GGA-PBEsol level of DFT.

**Density of states at the Fermi level**: 0.00 states/eV per cell
**Raw total energy**: -3.367 eV/atom
**Space group**: Cmcm, No. 63

a b c (Å): 4.3917 7.4865 11.1931
angles (deg): 90.00 90.00 107.06
With the nearest neighbours (Å) after each atom.
Fractional coordinates of all 10 atoms:
Rb: 0.7485 0.4970 0.2500  8 Br 3.38-3.70
Rb: 0.2515 0.5030 0.7500  8 Br 3.38-3.70
Br: 0.6404 0.2808 0.5503  2 Pb 3.03
Br: 0.3596 0.7192 0.0503  2 Pb 3.03
Br: 0.3596 0.7192 0.4497  2 Pb 3.03
Br: 0.6404 0.2808 0.9497  2 Pb 3.03
Br: 0.9313 0.8625 0.7500  2 Pb 2.97
Br: 0.0687 0.1375 0.2500  2 Pb 2.97
Pb: 0.0000 0.0000 0.5000  6 Br 2.97-3.03
Pb: 0.0000 0.0000 0.0000  6 Br 2.97-3.03



Computed, not measured: RePbBr2 after structural relaxation at the GGA-PBEsol level of DFT.

**Density of states at the Fermi level**: 2.24 states/eV per cell
**Raw total energy**: -4.692 eV/atom
**Space group**: Imm2, No. 44

a b c (Å): 3.0990 4.6901 7.3262
angles (deg): 108.67 102.21 90.00
With the nearest neighbours (Å) after each atom.
Fractional coordinates of all 4 atoms:
Br: 0.9114 0.9114 0.8228  2 Re 2.51
Br: 0.7412 0.2412 0.4824  4 Re 2.83, 2 Br 3.10
Re: 0.2656 0.7656 0.5312  2 Br 2.51
Pb: 0.5818 0.5818 0.1636  2 Re 2.93, 2 Pb 3.10, 2 Br 3.19



Computed, not measured: RePbBr2 after structural relaxation at the GGA-PBEsol level of DFT.

**Density of states at the Fermi level**: 2.93 states/eV per cell
**Raw total energy**: -4.862 eV/atom
**Space group**: Immm, No. 71

a b c (Å): 3.2016 4.9065 7.0438
angles (deg): 110.33 103.14 90.00
With the nearest neighbours (Å) after each atom.
Fractional coordinates of all 4 atoms:
Br: 0.8390 0.8387 0.6781  2 Re 2.61
Br: 0.1610 0.1613 0.3219  2 Re 2.61
Pb: 0.0000 0.5000 0.0000  4 Re 2.93, 2 Pb 3.20, 4 Br 3.20-3.21
Re: 0.5000 0.0000 0.0000  4 Br 2.61



Computed, not measured: RePbBr2 after structural relaxation at the GGA-PBEsol level of DFT.

**Density of states at the Fermi level**: 2.72 states/eV per cell
**Raw total energy**: -4.609 eV/atom
**Space group**: Cmm2, No. 35

a b c (Å): 3.3214 3.3626 9.4384
angles (deg): 90.00 90.00 119.60
With the nearest neighbours (Å) after each atom.
Fractional coordinates of all 4 atoms:
Br: 0.5000 0.0000 0.2688  2 Pb 2.87
Br: 0.0000 0.0000 0.9544  2 Re 2.47
Re: 0.5000 0.0000 0.7603  2 Br 2.47
Pb: 0.0000 0.0000 0.5165  2 Re 2.84, 2 Br 2.87



The highest density of states at the Fermi level belongs to which entry?
number 3